# GGA-PBE InAsPBr2, optimized geometry
data_InAsPBr2
_chemical_formula_sum 'In1 As1 P1 Br2'
_space_group_name_H-M_alt 'P 4/m m m'
_space_group_IT_number 123
_space_group_name_Hall '-P 4 2'
_cell_length_a 5.3722
_cell_length_b 5.3722
_cell_length_c 5.6309
_cell_angle_alpha 90.00
_cell_angle_beta 90.00
_cell_angle_gamma 90.00
loop_
_atom_site_label
_atom_site_fract_x
_atom_site_fract_y
_atom_site_fract_z
In1 0.0000 0.0000 0.0000
As1 0.0000 0.0000 0.5000
P1 0.5000 0.5000 0.5000
Br1 0.0000 0.5000 0.0000
# Final energy: -2.62 eV per atom
# Total magnetization: 0.967 μB/f.u.
# Energy relative to the elements, uncorrected: 0.610 eV/atom
# V: 163 Å³/cell
# Energy above the most stable polymorph in this dataset: 0.458 eV per atom